TmBMo | PBE | relaxed

```
data_TmBMo
_space_group_name_H-M_alt 'F -4 3 m'
_space_group_IT_number 216
_space_group_name_Hall 'F -4 2 3'
_cell_length_a 5.808
_cell_length_b 5.808
_cell_length_c 5.808
_cell_angle_alpha 90.00
_cell_angle_beta 90.00
_cell_angle_gamma 90.00
loop_
_atom_site_label
_atom_site_type_symbol
_atom_site_fract_x
_atom_site_fract_y
_atom_site_fract_z
Tm1 Tm 0.000 0.000 0.000
B1 B 0.250 0.250 0.750
Mo1 Mo 0.000 0.000 0.500
```

**Size of the total moment**: 0.19 Bohr magnetons per cell
**Uncorrected energy**: -7.06 eV per atom
**Crystal system**: cubic
**Density**: 9.3 Mg/m³
**Relative energy among the computed polymorphs**: 0 meV per atom


AlRe2Ir | PBE | relaxed

```
data_AlRe2Ir
_space_group_name_H-M_alt 'F -4 3 m'
_space_group_IT_number 216
_space_group_name_Hall 'F -4 2 3'
_cell_length_a 6.162
_cell_length_b 6.162
_cell_length_c 6.162
_cell_angle_alpha 90.00
_cell_angle_beta 90.00
_cell_angle_gamma 90.00
loop_
_atom_site_label
_atom_site_type_symbol
_atom_site_fract_x
_atom_site_fract_y
_atom_site_fract_z
Al1 Al 0.000 0.000 0.000
Re1 Re 0.000 0.000 0.500
Re2 Re 0.250 0.250 0.750
Ir1 Ir 0.250 0.250 0.250
```

**Size of the total moment**: 0.49 Bohr magnetons per cell
**Uncorrected energy**: -9.41 eV per atom
**Crystal system**: cubic
**Density**: 16.8 Mg/m³